[1]
Density functional theory data (PBE) for a geometry-optimized Li2NpSc3Se6 structure.

Summary:
D(E_F): 14.9 states/eV/f.u.
Raw formation energy: -1.50 eV/atom

```
Li2NpSc3Se6
1.0
-2.138 -2.362 -2.258
4.842 -6.059 1.754
-5.026 0.904 7.189
Se Li Sc Np
6 2 3 1
Direct
0.672 0.085 0.343
0.002 0.264 0.003
0.998 0.736 0.997
0.664 0.591 0.329
0.328 0.915 0.657
0.336 0.409 0.671
0.175 0.354 0.351
0.825 0.646 0.649
0.500 0.500 0.000
0.834 0.165 0.668
0.166 0.835 0.332
0.500 0.000 0.000
```

[2]
Density functional theory data (PBE) for a geometry-optimized Na3In2Sb4 structure.

Summary:
D(E_F): 2.8 states/eV/f.u.
Raw formation energy: -0.20 eV/atom

```
Na3In2Sb4
1.0
-0.654 2.028 3.957
-6.216 -3.715 -1.675
6.680 -5.731 4.041
Na Sb In
3 4 2
Direct
0.000 0.000 0.000
0.402 0.804 0.327
0.598 0.196 0.673
0.306 0.612 0.971
0.090 0.181 0.388
0.694 0.388 0.029
0.910 0.819 0.612
0.292 0.585 0.658
0.708 0.415 0.342
```

[3]
Density functional theory data (PBE) for a geometry-optimized Ti2SnP structure.

Summary:
Energy of formation from the pure elements: -195 meV per atom
D(E_F): 5.9 states/eV/f.u.
Offset from the most stable computed form: 562 meV/atom

```
Ti2SnP
1.0
-2.111 1.060 3.953
-0.746 4.408 1.102
-4.281 1.695 -0.059
P Sn Ti
1 1 2
Direct
0.000 0.000 0.000
0.500 0.500 0.500
0.250 0.250 0.250
0.750 0.750 0.750
```

[4]
Density functional theory data (PBE) for a geometry-optimized Y5Ho4Tm3 structure.

Summary:
Energy of formation from the pure elements: 26 meV per atom
D(E_F): 16.8 states/eV/f.u.
Offset from the most stable computed form: 0 meV/atom

```
Y5Ho4Tm3
1.0
-2.468 -1.058 6.546
6.719 -6.468 -6.153
-1.838 9.355 8.453
Tm Y Ho
3 5 4
Direct
0.000 0.000 0.500
0.584 0.167 0.334
0.416 0.833 0.666
0.500 0.000 0.500
0.335 0.665 0.831
0.750 0.500 0.000
0.665 0.335 0.169
0.250 0.500 0.000
0.083 0.167 0.334
0.164 0.330 0.166
0.917 0.833 0.666
0.836 0.670 0.834
```

[5]
Density functional theory data (PBE) for a geometry-optimized ScMn2Ni structure.

Summary:
Energy of formation from the pure elements: 73 meV per atom
D(E_F): 4.2 states/eV/f.u.

```
ScMn2Ni
1.0
-2.248 1.993 0.063
-0.254 -0.193 -2.988
-4.324 -4.898 0.683
Mn Sc Ni
2 1 1
Direct
0.000 0.000 0.460
0.000 0.000 0.040
0.500 0.500 0.750
0.500 0.500 0.250
```

[6]
Density functional theory data (PBE) for a geometry-optimized LaPtBr6 structure.

Summary:
D(E_F): 1.2 states/eV/f.u.
Raw formation energy: -0.97 eV/atom

```
LaPtBr6
1.0
6.757 0.229 -0.055
3.563 6.184 -0.214
3.376 1.934 6.242
Br Pt La
6 1 1
Direct
0.782 0.058 0.769
0.598 0.218 0.233
0.075 0.397 0.758
0.925 0.603 0.242
0.402 0.782 0.767
0.218 0.942 0.231
0.000 0.000 0.000
0.500 0.500 0.500
```

[7]
Density functional theory data (PBE) for a geometry-optimized CeZr6Pa2 structure.

Summary:
Energy of formation from the pure elements: 154 meV per atom
D(E_F): 15.6 states/eV/f.u.

```
CeZr6Pa2
1.0
-3.826 4.826 0.339
-0.837 -2.234 8.136
7.091 4.560 0.897
Zr Pa Ce
12 4 2
Direct
0.504 0.696 0.270
0.697 0.757 0.934
0.225 0.563 0.945
0.197 0.934 0.757
0.725 0.945 0.563
0.803 0.066 0.243
0.275 0.055 0.437
0.496 0.304 0.730
0.004 0.270 0.696
0.996 0.730 0.304
0.775 0.437 0.055
0.303 0.243 0.066
0.873 0.595 0.636
0.627 0.364 0.405
0.373 0.636 0.595
0.127 0.405 0.364
0.250 0.916 0.084
0.750 0.084 0.916
```

[8]
Density functional theory data (PBE) for a geometry-optimized ZnGaFe2Cu structure.

Summary:
Energy of formation from the pure elements: 1046 meV per atom
D(E_F): 8.7 states/eV/f.u.

```
ZnGaFe2Cu
1.0
4.457 0.000 0.000
0.000 4.477 0.000
0.000 0.000 4.457
Cu Fe Zn Ga
1 2 1 1
Direct
0.500 0.500 0.500
0.500 0.000 0.000
0.000 0.000 0.500
0.000 0.500 0.000
0.000 0.000 0.000
```

[9]
Density functional theory data (PBE) for a geometry-optimized BaLiVH2 structure.

Summary:
D(E_F): 1.5 states/eV/f.u.
Total DFT energy (no corrections): -15.62 eV per cell

```
BaLiVH2
1.0
4.152 0.000 0.000
0.000 6.027 0.000
0.000 0.000 4.152
H V Li Ba
2 1 1 1
Direct
0.500 0.000 0.000
0.000 0.000 0.500
0.000 0.000 0.000
0.500 0.500 0.500
0.000 0.500 0.000
```

[10]
Density functional theory data (PBE) for a geometry-optimized Dy4MgRu structure.

Summary:
Energy of formation from the pure elements: -195 meV per atom
D(E_F): 6.5 states/eV/f.u.
Offset from the most stable computed form: 54 meV/atom

```
Dy4MgRu
1.0
6.087 -0.951 0.000
-2.059 8.933 0.000
-2.014 -3.991 6.410
Dy Mg Ru
8 2 2
Direct
0.387 0.937 0.664
0.257 0.640 0.832
0.777 0.727 0.664
0.613 0.063 0.336
0.743 0.360 0.168
0.223 0.273 0.336
0.075 0.192 0.832
0.925 0.808 0.168
0.371 0.621 0.241
0.629 0.379 0.759
0.751 0.001 0.002
0.249 0.999 0.998
```

[11]
Density functional theory data (PBE) for a geometry-optimized BaNa2SrAu structure.

Summary:
Energy of formation from the pure elements: -133 meV per atom
D(E_F): 2.9 states/eV/f.u.
Offset from the most stable computed form: 3 meV/atom

```
BaNa2SrAu
1.0
-5.453 -1.889 1.422
-0.590 -2.373 -5.417
2.390 -5.335 2.077
Ba Au Na Sr
1 1 2 1
Direct
0.000 0.000 0.500
0.000 0.000 0.000
0.000 0.500 0.000
0.500 0.000 0.000
0.500 0.500 0.500
```

[12]
Density functional theory data (PBE) for a geometry-optimized Pm2SiPb structure.

Summary:
D(E_F): 3.3 states/eV/f.u.
Raw formation energy: -0.50 eV/atom

```
Pm2SiPb
1.0
-1.494 3.102 0.188
-2.852 -1.286 -1.450
-3.170 -2.014 8.020
Pm Pb Si
2 1 1
Direct
0.000 0.000 0.782
0.000 0.000 0.218
0.500 0.500 0.500
0.500 0.500 0.000
```